ErSc2UO8, optimized geometry, DFT PBE; VASP energy = -8.856 eV per atom; E_form (uncorrected) = -3174 meV per atom; space-group type = Cmmm, No. 65; spin magnetization = 0.576 μB/cell; DOS(E_F) = 9.24 states/eV per cell
1.0
-3.478 2.335 2.578
0.756 -3.067 3.777
4.674 4.216 2.489
O Sc Er U
8 2 1 1
direct
0.700 0.700 0.000 O
0.317 0.316 0.500 O
0.683 0.684 0.500 O
0.805 0.196 0.767 O
0.195 0.804 0.233 O
0.805 0.196 0.233 O
0.195 0.804 0.767 O
0.300 0.300 0.000 O
0.500 0.500 0.260 Sc
0.500 0.500 0.740 Sc
0.000 0.000 0.500 Er
0.000 0.000 0.000 U